8
Lattice="6.190 0.000 0.000 0.000 6.190 0.000 3.095 3.095 5.050" Properties=species:S:1:pos:R:3 comment="GaGe2Au | Alexandria via LeMat-Bulk | PBE | optimized geometry" ef_mev_per_atom=211 volume_a3_per_cell=193.49 pbc="T T T"
Ga 3.095 6.190 2.525
Ge 4.642 4.660 3.788
Au 6.190 3.095 2.525
Au 0.000 0.000 0.000
Ge 1.565 4.642 1.263
Ge 7.737 7.720 3.788
Ge 4.625 1.547 1.263
Ga 3.095 3.095 0.000